Record 1
Density functional theory data (GGA-PBE) for crystalline Tb2PrYTl2 at its relaxed geometry.

- symmetry = Pmc2_1
- ΔE_f (eV/atom) = -0.28
- E (eV per atom) = -4.49
- magnetic moment (μB/f.u.) = 0.0
- V (Å³ per atom) = 30.0

a = 5.187 Å, b = 6.845 Å, c = 10.123 Å
α = 90.00°, β = 90.00°, γ = 90.00°
Positions (direct):
Tb 0.500 0.050 0.044
Tb 0.000 0.333 0.181
Tb 0.500 0.550 0.956
Tb 0.000 0.833 0.819
Pr 0.000 0.960 0.458
Pr 0.000 0.460 0.542
Y 0.500 0.183 0.691
Y 0.500 0.683 0.309
Tl 0.000 0.297 0.866
Tl 0.500 0.222 0.361
Tl 0.000 0.797 0.134
Tl 0.500 0.722 0.639

***

Record 2
Density functional theory data (GGA-PBE) for crystalline TbPrY2Tl2 at its relaxed geometry.

- symmetry = Pmc2_1
- ΔE_f (eV/atom) = -0.29
- E (eV per atom) = -4.80
- magnetic moment (μB/f.u.) = 0.0
- V (Å³ per atom) = 29.9

a = 5.156 Å, b = 6.880 Å, c = 10.128 Å
α = 90.00°, β = 90.00°, γ = 90.00°
Positions (direct):
Tb 0.500 0.181 0.691
Tb 0.500 0.681 0.309
Pr 0.000 0.957 0.456
Pr 0.000 0.457 0.544
Y 0.500 0.052 0.045
Y 0.000 0.337 0.182
Y 0.500 0.552 0.955
Y 0.000 0.837 0.818
Tl 0.000 0.297 0.870
Tl 0.500 0.221 0.361
Tl 0.000 0.797 0.130
Tl 0.500 0.721 0.639

***

Record 3
Density functional theory data (GGA-PBE) for crystalline Tb6Pr2Y3Tl at its relaxed geometry.

- symmetry = C2/m
- ΔE_f (eV/atom) = -0.03
- E (eV per atom) = -4.95
- magnetic moment (μB/f.u.) = 0.0
- V (Å³ per atom) = 31.8

a = 6.149 Å, b = 6.149 Å, c = 11.822 Å
α = 94.99°, β = 94.99°, γ = 120.04°
Positions (direct):
Tb 0.917 0.590 0.750
Tb 0.756 0.756 0.251
Tb 0.083 0.410 0.250
Tb 0.590 0.917 0.750
Tb 0.244 0.244 0.749
Tb 0.410 0.083 0.250
Pr 0.334 0.666 0.000
Pr 0.666 0.334 0.000
Y 0.167 0.833 0.500
Y 0.833 0.167 0.500
Y 0.500 0.500 0.500
Tl 0.000 0.000 0.000

***

Record 4
Density functional theory data (GGA-PBE) for crystalline TbPrTlZn at its relaxed geometry.

- symmetry = P4mm
- ΔE_f (eV/atom) = -0.35
- energy above the most stable polymorph in this dataset (eV per atom) = 0.0000
- E (eV per atom) = -3.61
- magnetic moment (μB/f.u.) = 0.0
- V (Å³ per atom) = 26.7

a = 3.735 Å, b = 3.735 Å, c = 7.645 Å
α = 90.00°, β = 90.00°, γ = 90.00°
Positions (direct):
Tb 0.000 0.000 0.380
Pr 0.000 0.000 0.836
Tl 0.500 0.500 0.122
Zn 0.500 0.500 0.590

***

Record 5
Density functional theory data (GGA-PBE) for crystalline TbPrTlZn at its relaxed geometry.

- symmetry = F-43m
- ΔE_f (eV/atom) = -0.32
- energy above the most stable polymorph in this dataset (eV per atom) = 0.0285
- E (eV per atom) = -3.59
- magnetic moment (μB/f.u.) = 0.0
- V (Å³ per atom) = 27.0

a = 5.348 Å, b = 5.348 Å, c = 5.348 Å
α = 60.00°, β = 60.00°, γ = 60.00°
Positions (direct):
Pr 0.750 0.750 0.750
Tl 0.500 0.500 0.500
Tb 0.250 0.250 0.250
Zn 0.000 0.000 0.000

***

Record 6
Density functional theory data (GGA-PBE) for crystalline TbPr2Tl2Zn2 at its relaxed geometry.

- symmetry = R-3m
- ΔE_f (eV/atom) = -0.19
- E (eV per atom) = -3.26
- magnetic moment (μB/f.u.) = 0.0
- V (Å³ per atom) = 27.0

a = 4.775 Å, b = 4.775 Å, c = 9.967 Å
α = 76.14°, β = 76.14°, γ = 60.00°
Positions (direct):
Tb 0.000 0.000 0.000
Pr 0.125 0.125 0.624
Pr 0.875 0.875 0.376
Tl 0.733 0.733 0.802
Tl 0.267 0.267 0.198
Zn 0.612 0.612 0.164
Zn 0.388 0.388 0.836

***

Record 7
Density functional theory data (GGA-PBE) for crystalline TbPr7Tm3 at its relaxed geometry.

- symmetry = Cmcm
- ΔE_f (eV/atom) = 0.13
- energy above the most stable polymorph in this dataset (eV per atom) = 0.0000
- E (eV per atom) = -4.55
- magnetic moment (μB/f.u.) = 0.0
- V (Å³ per atom) = 34.9

a = 9.996 Å, b = 9.996 Å, c = 11.473 Å
α = 90.00°, β = 90.00°, γ = 137.98°
Positions (direct):
Tb 0.500 0.500 0.000
Tb 0.500 0.500 0.500
Pr 0.665 0.842 0.250
Pr 0.158 0.335 0.750
Pr 0.412 0.087 0.469
Pr 0.412 0.087 0.031
Pr 0.913 0.588 0.969
Pr 0.913 0.588 0.531
Pr 0.753 0.753 0.750
Pr 0.247 0.247 0.250
Pr 0.087 0.412 0.031
Pr 0.087 0.412 0.469
Pr 0.588 0.913 0.969
Pr 0.588 0.913 0.531
Pr 0.842 0.665 0.250
Pr 0.335 0.158 0.750
Tm 0.749 0.251 0.750
Tm 0.000 0.000 0.000
Tm 0.000 0.000 0.500
Tm 0.749 0.251 0.250
Tm 0.251 0.749 0.750
Tm 0.251 0.749 0.250

***

Record 8
Density functional theory data (GGA-PBE) for crystalline Tb4Pr11Tm9 at its relaxed geometry.

- symmetry = Cmmm
- ΔE_f (eV/atom) = 0.06
- E (eV per atom) = -4.58
- magnetic moment (μB/f.u.) = 0.0
- V (Å³ per atom) = 33.5

a = 3.677 Å, b = 15.421 Å, c = 15.421 Å
α = 113.20°, β = 90.00°, γ = 90.00°
Positions (direct):
Tb 0.500 0.556 0.759
Tb 0.500 0.444 0.241
Tb 0.500 0.759 0.556
Tb 0.500 0.241 0.444
Pr 0.000 0.595 0.958
Pr 0.000 0.405 0.042
Pr 0.000 0.958 0.595
Pr 0.000 0.042 0.405
Pr 0.000 0.632 0.368
Pr 0.000 0.368 0.632
Pr 0.000 0.840 0.160
Pr 0.000 0.160 0.840
Pr 0.000 0.000 0.000
Pr 0.000 0.708 0.708
Pr 0.000 0.292 0.292
Tm 0.500 0.631 0.166
Tm 0.500 0.369 0.834
Tm 0.500 0.166 0.631
Tm 0.500 0.834 0.369
Tm 0.500 0.787 0.932
Tm 0.500 0.213 0.068
Tm 0.500 0.932 0.787
Tm 0.500 0.068 0.213
Tm 0.500 0.500 0.500